# DyCoF6, relaxed, DFT GGA+U
# electronic total energy: -89.1 eV/cell
data_DyCoF6
_chemical_formula_sum 'Dy2 Co2 F12'
_cell_length_a 5.296
_cell_length_b 8.369
_cell_length_c 5.172
_cell_angle_alpha 90.00
_cell_angle_beta 101.80
_cell_angle_gamma 90.00
_space_group_name_H-M_alt 'C 1 2/m 1'
_space_group_IT_number 12
_space_group_name_Hall '-C 2y'
loop_
_atom_site_label
_atom_site_type_symbol
_atom_site_fract_x
_atom_site_fract_y
_atom_site_fract_z
Dy1 Dy 0.000 0.000 0.000
Co1 Co 0.000 0.500 0.500
F1 F 0.204 0.347 0.749
F2 F 0.244 0.000 0.703


# DyCoF5, relaxed, DFT GGA+U
# electronic total energy: -167.6 eV/cell
data_DyCoF5
_chemical_formula_sum 'Dy4 Co4 F20'
_cell_length_a 9.053
_cell_length_b 6.735
_cell_length_c 7.577
_cell_angle_alpha 90.00
_cell_angle_beta 114.27
_cell_angle_gamma 90.00
_space_group_name_H-M_alt 'C 1 2/c 1'
_space_group_IT_number 15
_space_group_name_Hall '-C 2yc'
loop_
_atom_site_label
_atom_site_type_symbol
_atom_site_fract_x
_atom_site_fract_y
_atom_site_fract_z
Dy1 Dy 0.000 0.053 0.250
Co1 Co 0.000 0.500 0.000
F1 F 0.000 0.387 0.250
F2 F 0.009 0.186 0.965
F3 F 0.240 0.475 0.626


# K2DyCo3F12, relaxed, DFT GGA+U
# electronic total energy: -277.7 eV/cell
data_K2DyCo3F12
_chemical_formula_sum 'K6 Dy3 Co9 F36'
_cell_length_a 7.5165
_cell_length_b 7.5165
_cell_length_c 17.8853
_cell_angle_alpha 90.00
_cell_angle_beta 90.00
_cell_angle_gamma 120.00
_space_group_name_H-M_alt 'R -3 m'
_space_group_IT_number 166
_space_group_name_Hall '-R 3 2"'
loop_
_atom_site_label
_atom_site_type_symbol
_atom_site_fract_x
_atom_site_fract_y
_atom_site_fract_z
K1 K 0.0000 0.0000 0.1242
Dy1 Dy 0.0000 0.0000 0.5000
Co1 Co 0.0000 0.5000 0.0000
F1 F 0.0299 0.5150 0.1122
F2 F 0.0754 0.5377 0.3424


# Na2DyCo3F12, relaxed, DFT GGA+U
# electronic total energy: -275.1 eV/cell
data_Na2DyCo3F12
_chemical_formula_sum 'Na6 Dy3 Co9 F36'
_cell_length_a 7.4509
_cell_length_b 7.4509
_cell_length_c 15.8112
_cell_angle_alpha 90.00
_cell_angle_beta 90.00
_cell_angle_gamma 120.00
_space_group_name_H-M_alt 'R -3 m'
_space_group_IT_number 166
_space_group_name_Hall '-R 3 2"'
loop_
_atom_site_label
_atom_site_type_symbol
_atom_site_fract_x
_atom_site_fract_y
_atom_site_fract_z
Na1 Na 0.0000 0.0000 0.1410
Dy1 Dy 0.0000 0.0000 0.5000
Co1 Co 0.0000 0.5000 0.0000
F1 F 0.0261 0.5131 0.8751
F2 F 0.0886 0.5443 0.3041


# NaDyCoF6, relaxed, DFT GGA+U
# electronic total energy: -100.8 eV/cell
data_NaDyCoF6
_chemical_formula_sum 'Na2 Dy2 Co2 F12'
_cell_length_a 5.6641
_cell_length_b 5.6641
_cell_length_c 9.6034
_cell_angle_alpha 90.00
_cell_angle_beta 90.00
_cell_angle_gamma 120.00
_space_group_name_H-M_alt 'P -3 1 c'
_space_group_IT_number 163
_space_group_name_Hall '-P 3 2c'
loop_
_atom_site_label
_atom_site_type_symbol
_atom_site_fract_x
_atom_site_fract_y
_atom_site_fract_z
Na1 Na 0.0000 0.0000 0.0000
Dy1 Dy 0.3333 0.6667 0.2500
Co1 Co 0.3333 0.6667 0.7500
F1 F 0.0173 0.3619 0.6361


# NaDyCo2F8, relaxed, DFT GGA+U
# electronic total energy: -131.2 eV/cell
data_NaDyCo2F8
_chemical_formula_sum 'Na2 Dy2 Co4 F16'
_cell_length_a 7.115
_cell_length_b 7.041
_cell_length_c 6.674
_cell_angle_alpha 90.00
_cell_angle_beta 90.09
_cell_angle_gamma 90.00
_space_group_name_H-M_alt 'C 1 2/m 1'
_space_group_IT_number 12
_space_group_name_Hall '-C 2y'
loop_
_atom_site_label
_atom_site_type_symbol
_atom_site_fract_x
_atom_site_fract_y
_atom_site_fract_z
Na1 Na 0.000 0.000 0.000
Dy1 Dy 0.000 0.000 0.500
Co1 Co 0.000 0.500 0.238
F1 F 0.000 0.212 0.262
F2 F 0.181 0.500 0.000
F3 F 0.187 0.500 0.500


Repeat the second record exactly.
# DyCoF5, relaxed, DFT GGA+U
# electronic total energy: -167.6 eV/cell
data_DyCoF5
_chemical_formula_sum 'Dy4 Co4 F20'
_cell_length_a 9.053
_cell_length_b 6.735
_cell_length_c 7.577
_cell_angle_alpha 90.00
_cell_angle_beta 114.27
_cell_angle_gamma 90.00
_space_group_name_H-M_alt 'C 1 2/c 1'
_space_group_IT_number 15
_space_group_name_Hall '-C 2yc'
loop_
_atom_site_label
_atom_site_type_symbol
_atom_site_fract_x
_atom_site_fract_y
_atom_site_fract_z
Dy1 Dy 0.000 0.053 0.250
Co1 Co 0.000 0.500 0.000
F1 F 0.000 0.387 0.250
F2 F 0.009 0.186 0.965
F3 F 0.240 0.475 0.626